Material: FeGeIO2
Method: DFT, PBE+U
State: relaxed

a = 3.8350 Å, b = 3.8350 Å, c = 6.2671 Å
α = 90.00°, β = 90.00°, γ = 90.00°
Last column: magnetic moment on the atom in μB.
Positions (direct):
1 I 0.0000 0.0000 0.5000  0.04
2 Ge 0.0000 0.0000 0.0000  0.00
3 Fe 0.5000 0.5000 0.5000  3.64
4 O 0.0000 0.5000 0.0000  0.02
5 O 0.5000 0.0000 0.0000  0.02

ρ ... 5.2 g/cm³
E above lowest polymorph ... 0.00 eV/f.u.
Symmetry ... P4/mmm
Crystal system ... tetragonal
Fermi-level density of states ... 1.83 states/eV/f.u.